i:
A plane-wave DFT calculation with PBE was carried out for a relaxed structure of K3Tl3Pb2.

Lattice parameters (Å, degrees): 6.9409 6.9409 17.7613 90.00 90.00 134.95
With the nearest neighbours (Å) after each atom.
Atoms (fractional coordinates):
K 0.0820 0.9180 0.6076  7 Tl 3.65-4.02, 3 Pb 3.71-3.79
K 0.0820 0.9180 0.8924  7 Tl 3.65-4.02, 3 Pb 3.71-3.79
K 0.3719 0.6281 0.7500  5 Tl 3.65-3.91, 4 Pb 3.84
K 0.6281 0.3719 0.2500  5 Tl 3.65-3.91, 4 Pb 3.84
K 0.9180 0.0820 0.1076  7 Tl 3.65-4.02, 3 Pb 3.71-3.79
K 0.9180 0.0820 0.3924  7 Tl 3.65-4.02, 3 Pb 3.71-3.79
Tl 0.3431 0.6569 0.2500  2 Pb 3.11
Tl 0.3766 0.6234 0.5299  3 Pb 3.16-3.23, 1 Tl 3.34
Tl 0.3766 0.6234 0.9701  3 Pb 3.16-3.23, 1 Tl 3.34
Tl 0.6234 0.3766 0.0299  3 Pb 3.16-3.23, 1 Tl 3.34
Tl 0.6234 0.3766 0.4701  3 Pb 3.16-3.23, 1 Tl 3.34
Tl 0.6569 0.3431 0.7500  2 Pb 3.11
Pb 0.2073 0.7927 0.1050  4 Tl 3.11-3.23
Pb 0.2073 0.7927 0.3950  4 Tl 3.11-3.23
Pb 0.7927 0.2073 0.6050  4 Tl 3.11-3.23
Pb 0.7927 0.2073 0.8950  4 Tl 3.11-3.23

=====

ii:
A plane-wave DFT calculation with PBE was carried out for a relaxed structure of K3Tl3Pb2.

Lattice parameters (Å, degrees): 6.1965 6.1965 18.5198 90.00 90.00 126.02
With the nearest neighbours (Å) after each atom.
Atoms (fractional coordinates):
K 0.0586 0.9414 0.7500  3 Tl 3.44-3.50, 2 Pb 3.69
K 0.1563 0.8437 0.5413  5 Tl 3.60-4.02, 3 Pb 3.76-3.86, 4 K 3.78-4.01
K 0.1563 0.8437 0.9587  5 Tl 3.60-4.02, 3 Pb 3.76-3.86, 4 K 3.78-4.01
K 0.8437 0.1563 0.0413  5 Tl 3.60-4.02, 3 Pb 3.76-3.86, 4 K 3.78-4.01
K 0.8437 0.1563 0.4587  5 Tl 3.60-4.02, 3 Pb 3.76-3.86, 4 K 3.78-4.01
K 0.9414 0.0586 0.2500  3 Tl 3.44-3.50, 2 Pb 3.69
Tl 0.3704 0.6296 0.7500  2 Tl 3.09, 1 K 3.44
Tl 0.4702 0.5298 0.5940  1 Tl 3.09, 1 Pb 3.43
Tl 0.4702 0.5298 0.9060  1 Tl 3.09, 1 Pb 3.43
Tl 0.5298 0.4702 0.0940  1 Tl 3.09, 1 Pb 3.43
Tl 0.5298 0.4702 0.4060  1 Tl 3.09, 1 Pb 3.43
Tl 0.6296 0.3704 0.2500  2 Tl 3.09, 1 K 3.44
Pb 0.2403 0.7597 0.1609  1 Pb 3.30, 3 Tl 3.43-3.48, 1 K 3.69
Pb 0.2403 0.7597 0.3391  1 Pb 3.30, 3 Tl 3.43-3.48, 1 K 3.69
Pb 0.7597 0.2403 0.6609  1 Pb 3.30, 3 Tl 3.43-3.48, 1 K 3.69
Pb 0.7597 0.2403 0.8391  1 Pb 3.30, 3 Tl 3.43-3.48, 1 K 3.69

=====

Which is the most stable structure? i is the most stable.

=====

i:
A plane-wave DFT calculation with PBE was carried out for a relaxed structure of K3TlPb.

Lattice parameters (Å, degrees): 8.9891 8.9891 8.9891 83.74 121.75 125.65
With the nearest neighbours (Å) after each atom.
Atoms (fractional coordinates):
K 0.1795 0.0031 0.6763  2 Tl 3.49-3.50, 1 Pb 3.63
K 0.2494 0.0127 0.2621  1 Tl 3.52
K 0.2494 0.4873 0.7367  1 Tl 3.52
K 0.3268 0.5031 0.3237  2 Tl 3.49-3.50, 1 Pb 3.63
K 0.7506 0.5127 0.2633  1 Tl 3.52
K 0.7506 0.9873 0.7379  1 Tl 3.52
Tl 0.2480 0.7505 0.9976  2 Pb 3.07
Tl 0.7529 0.2505 0.0024  2 Pb 3.07
Pb 0.7368 0.4978 0.7390  2 Tl 3.07
Pb 0.7587 0.9978 0.2610  2 Tl 3.07

=====

ii:
A plane-wave DFT calculation with PBE was carried out for a relaxed structure of K3TlPb.

Lattice parameters (Å, degrees): 6.3178 6.3178 12.4276 90.00 90.00 120.04
With the nearest neighbours (Å) after each atom.
Atoms (fractional coordinates):
K 0.1656 0.8344 0.7500  3 Pb 3.65
K 0.1671 0.8329 0.0934  3 Tl 3.82-3.83, 5 K 3.89-4.27, 3 Pb 4.13-4.14
K 0.1671 0.8329 0.4066  3 Tl 3.82-3.83, 5 K 3.89-4.27, 3 Pb 4.13-4.14
K 0.8329 0.1671 0.5934  3 Tl 3.82-3.83, 5 K 3.89-4.27, 3 Pb 4.13-4.14
K 0.8329 0.1671 0.9066  3 Tl 3.82-3.83, 5 K 3.89-4.27, 3 Pb 4.13-4.14
K 0.8344 0.1656 0.2500  3 Pb 3.65
Tl 0.5000 0.5000 0.0000  2 Pb 3.11
Tl 0.5000 0.5000 0.5000  2 Pb 3.11
Pb 0.4991 0.5009 0.7500  2 Tl 3.11
Pb 0.5009 0.4991 0.2500  2 Tl 3.11

=====

iii:
A plane-wave DFT calculation with PBE was carried out for a relaxed structure of K3TlPb.

Lattice parameters (Å, degrees): 6.5387 6.5387 6.5387 90.00 90.00 90.00
With the nearest neighbours (Å) after each atom.
Atoms (fractional coordinates):
K 0.0000 0.0000 0.5000  2 Tl 3.27
K 0.0000 0.5000 0.0000  2 Tl 3.27
K 0.5000 0.0000 0.0000  2 Tl 3.27
Tl 0.0000 0.0000 0.0000  6 K 3.27
Pb 0.5000 0.5000 0.5000  12 K 4.62

=====

Which is the most stable structure? ii is the most stable.

=====

i:
A plane-wave DFT calculation with PBE was carried out for a relaxed structure of K3Tl5Pb2.

Lattice parameters (Å, degrees): 12.1299 12.1299 4.9571 90.00 90.00 90.00
With the nearest neighbours (Å) after each atom.
Atoms (fractional coordinates):
K 0.0000 0.0000 0.0000  8 Tl 3.62
K 0.1630 0.3370 0.0000  3 Pb 3.47-3.62, 2 Tl 3.74
K 0.3370 0.8370 0.0000  3 Pb 3.47-3.62, 2 Tl 3.74
K 0.5000 0.5000 0.0000  8 Tl 3.62
K 0.6630 0.1630 0.0000  3 Pb 3.47-3.62, 2 Tl 3.74
K 0.8370 0.6630 0.0000  3 Pb 3.47-3.62, 2 Tl 3.74
Tl 0.0000 0.5000 0.5000  4 Pb 3.39, 4 Tl 3.73, 4 K 3.74
Tl 0.0797 0.7970 0.5000  2 Pb 3.24
Tl 0.2030 0.0797 0.5000  2 Pb 3.24
Tl 0.2970 0.5797 0.5000  2 Pb 3.24
Tl 0.4203 0.2970 0.5000  2 Pb 3.24
Tl 0.5000 0.0000 0.5000  4 Pb 3.39, 4 Tl 3.73, 4 K 3.74
Tl 0.5797 0.7030 0.5000  2 Pb 3.24
Tl 0.7030 0.4203 0.5000  2 Pb 3.24
Tl 0.7970 0.9203 0.5000  2 Pb 3.24
Tl 0.9203 0.2030 0.5000  2 Pb 3.24
Pb 0.1345 0.6345 0.0000  6 Tl 3.24-3.39, 1 K 3.47
Pb 0.3655 0.1345 0.0000  6 Tl 3.24-3.39, 1 K 3.47
Pb 0.6345 0.8655 0.0000  6 Tl 3.24-3.39, 1 K 3.47
Pb 0.8655 0.3655 0.0000  6 Tl 3.24-3.39, 1 K 3.47

=====

ii:
A plane-wave DFT calculation with PBE was carried out for a relaxed structure of K3Tl5Pb2.

Lattice parameters (Å, degrees): 10.8207 10.8207 10.8207 103.89 90.39 138.87
With the nearest neighbours (Å) after each atom.
Atoms (fractional coordinates):
K 0.1252 0.7347 0.8599  3 Pb 3.71-4.14, 8 Tl 4.04-4.15
K 0.2500 0.2500 0.0000  4 Pb 3.49, 2 K 3.80, 2 Tl 3.82
K 0.3748 0.2347 0.6094  3 Pb 3.71-4.14, 8 Tl 4.04-4.15
K 0.6252 0.7653 0.3906  3 Pb 3.71-4.14, 8 Tl 4.04-4.15
K 0.7500 0.7500 0.0000  4 Pb 3.49, 2 K 3.80, 2 Tl 3.82
K 0.8748 0.2653 0.1401  3 Pb 3.71-4.14, 8 Tl 4.04-4.15
Tl 0.9995 0.2500 0.7495  2 Pb 3.14, 2 Tl 3.18
Tl 0.0005 0.7500 0.2505  2 Pb 3.14, 2 Tl 3.18
Tl 0.1292 0.3680 0.4972  1 Pb 3.00, 4 Tl 3.18-3.26
Tl 0.2500 0.7500 0.5000  4 Tl 3.26
Tl 0.3708 0.8680 0.2388  1 Pb 3.00, 4 Tl 3.18-3.26
Tl 0.5005 0.2500 0.2505  2 Pb 3.14, 2 Tl 3.18
Tl 0.4995 0.7500 0.7495  2 Pb 3.14, 2 Tl 3.18
Tl 0.6292 0.1320 0.7612  1 Pb 3.00, 4 Tl 3.18-3.26
Tl 0.7500 0.2500 0.5000  4 Tl 3.26
Tl 0.8708 0.6320 0.5028  1 Pb 3.00, 4 Tl 3.18-3.26
Pb 0.1449 0.1436 0.2885  3 Tl 3.00-3.14
Pb 0.3551 0.6436 0.9987  3 Tl 3.00-3.14
Pb 0.6449 0.3564 0.0013  3 Tl 3.00-3.14
Pb 0.8551 0.8564 0.7115  3 Tl 3.00-3.14

=====

Which is the most stable structure? i is the most stable.

=====

i:
A plane-wave DFT calculation with PBE was carried out for a relaxed structure of KTl6Pb6.

Lattice parameters (Å, degrees): 8.7498 8.7498 8.7498 134.96 99.79 97.09
With the nearest neighbours (Å) after each atom.
Atoms (fractional coordinates):
K 0.0000 0.0000 0.0000  8 Tl 3.99-4.05, 12 Pb 4.27-4.37
Tl 0.1895 0.6895 0.5000  6 Pb 3.35-3.44
Tl 0.3492 0.3492 0.0000  6 Pb 3.46-3.47, 3 Tl 3.49-3.83
Tl 0.3538 0.0000 0.3538  1 Tl 3.30, 6 Pb 3.55-3.61
Tl 0.6462 0.0000 0.6462  1 Tl 3.30, 6 Pb 3.55-3.61
Tl 0.6508 0.6508 0.0000  6 Pb 3.46-3.47, 3 Tl 3.49-3.83
Tl 0.8105 0.3105 0.5000  6 Pb 3.35-3.44
Pb 0.0000 0.0000 0.5000  4 Pb 3.35, 6 Tl 3.35-3.55
Pb 0.0000 0.5000 0.0000  4 Pb 3.35, 6 Tl 3.35-3.55
Pb 0.2351 0.5000 0.7351  4 Pb 3.35, 6 Tl 3.44-3.61
Pb 0.5000 0.0000 0.0000  4 Pb 3.35, 6 Tl 3.35-3.55
Pb 0.5000 0.5000 0.5000  4 Pb 3.35, 6 Tl 3.35-3.55
Pb 0.7649 0.5000 0.2649  4 Pb 3.35, 6 Tl 3.44-3.61

=====

ii:
A plane-wave DFT calculation with PBE was carried out for a relaxed structure of KTl6Pb6.

Lattice parameters (Å, degrees): 6.7035 6.7035 11.1661 90.00 90.00 119.73
With the nearest neighbours (Å) after each atom.
Atoms (fractional coordinates):
K 0.0000 0.0000 0.0000  8 Tl 3.85-3.97
Tl 0.0000 0.0000 0.3554  1 Tl 3.23, 6 Pb 3.56-3.58
Tl 0.0000 0.0000 0.6446  1 Tl 3.23, 6 Pb 3.56-3.58
Tl 0.3261 0.6739 0.5000  6 Pb 3.44, 2 Tl 3.80
Tl 0.3389 0.6611 0.0000  6 Pb 3.35-3.37, 1 Tl 3.73
Tl 0.6611 0.3389 0.0000  6 Pb 3.35-3.37, 1 Tl 3.73
Tl 0.6739 0.3261 0.5000  6 Pb 3.44, 2 Tl 3.80
Pb 0.0000 0.5000 0.2429  4 Pb 3.35-3.37, 6 Tl 3.35-3.58
Pb 0.0000 0.5000 0.7571  4 Pb 3.35-3.37, 6 Tl 3.35-3.58
Pb 0.5000 0.0000 0.2429  4 Pb 3.35-3.37, 6 Tl 3.35-3.58
Pb 0.5000 0.0000 0.7571  4 Pb 3.35-3.37, 6 Tl 3.35-3.58
Pb 0.5000 0.5000 0.2510  4 Pb 3.35, 6 Tl 3.37-3.56
Pb 0.5000 0.5000 0.7490  4 Pb 3.35, 6 Tl 3.37-3.56

=====

Which is the most stable structure? ii is the most stable.